# 1
# PBE-GGA Fe3NiP2, relaxed
data_Fe3NiP2
_chemical_formula_sum 'Fe6 Ni2 P4'
_cell_length_a 3.5456
_cell_length_b 6.5188
_cell_length_c 5.7491
_cell_angle_alpha 90.00
_cell_angle_beta 90.00
_cell_angle_gamma 90.00
_space_group_name_H-M_alt 'P m c 21'
_space_group_IT_number 26
_space_group_name_Hall 'P 2c -2'
loop_
_atom_site_label
_atom_site_type_symbol
_atom_site_fract_x
_atom_site_fract_y
_atom_site_fract_z
Fe1 Fe 0.0000 0.0869 0.0000
Fe2 Fe 0.0000 0.3178 0.3798
Fe3 Fe 0.5000 0.1807 0.6714
Ni1 Ni 0.5000 0.4142 0.0538
P1 P 0.0000 0.3679 0.7616
P2 P 0.5000 0.1306 0.2933
# Density (g/cm³): 7.2
# D(E_F) (states/eV/f.u.): 5.079
# Formation energy from the elements (kJ per mole of atoms): -45.4

# 2
# PBE-GGA BeWCl, relaxed
data_BeWCl
_chemical_formula_sum 'Be4 W4 Cl4'
_cell_length_a 5.7818
_cell_length_b 5.7818
_cell_length_c 5.7818
_cell_angle_alpha 90.00
_cell_angle_beta 90.00
_cell_angle_gamma 90.00
_space_group_name_H-M_alt 'F -4 3 m'
_space_group_IT_number 216
_space_group_name_Hall 'F -4 2 3'
loop_
_atom_site_label
_atom_site_type_symbol
_atom_site_fract_x
_atom_site_fract_y
_atom_site_fract_z
Be1 Be 0.0000 0.0000 0.0000
W1 W 0.2500 0.2500 0.7500
Cl1 Cl 0.0000 0.0000 0.5000
# Energy above the lowest structure with this stoichiometry (kJ/mol of formula units): 305
# Density (g/cm³): 7.8
# D(E_F) (states/eV/f.u.): 2.297
# Formation energy from raw total energies (kJ per mole of atoms): 143.22

# 3
# PBE-GGA TbSmDyAl, relaxed
data_TbSmDyAl
_chemical_formula_sum 'Tb1 Sm1 Dy1 Al1'
_cell_length_a 3.5282
_cell_length_b 3.5282
_cell_length_c 9.0981
_cell_angle_alpha 90.00
_cell_angle_beta 90.00
_cell_angle_gamma 90.00
_space_group_name_H-M_alt 'P 4 m m'
_space_group_IT_number 99
_space_group_name_Hall 'P 4 -2'
loop_
_atom_site_label
_atom_site_type_symbol
_atom_site_fract_x
_atom_site_fract_y
_atom_site_fract_z
Tb1 Tb 0.0000 0.0000 0.0000
Sm1 Sm 0.5000 0.5000 0.2897
Dy1 Dy 0.0000 0.0000 0.5771
Al1 Al 0.5000 0.5000 0.7875
# Energy above the lowest structure with this stoichiometry (kJ/mol of formula units): 0
# Density (g/cm³): 7.3
# D(E_F) (states/eV/f.u.): 3.302
# Formation energy from the elements (kJ per mole of atoms): -18.2

# 4
# PBE-GGA CeMgInNi, relaxed
data_CeMgInNi
_chemical_formula_sum 'Ce4 Mg4 In4 Ni4'
_cell_length_a 6.8651
_cell_length_b 6.8651
_cell_length_c 6.8651
_cell_angle_alpha 90.00
_cell_angle_beta 90.00
_cell_angle_gamma 90.00
_space_group_name_H-M_alt 'F -4 3 m'
_space_group_IT_number 216
_space_group_name_Hall 'F -4 2 3'
loop_
_atom_site_label
_atom_site_type_symbol
_atom_site_fract_x
_atom_site_fract_y
_atom_site_fract_z
Ce1 Ce 0.0000 0.0000 0.0000
Mg1 Mg 0.2500 0.2500 0.2500
In1 In 0.0000 0.0000 0.5000
Ni1 Ni 0.2500 0.2500 0.7500
# Density (g/cm³): 6.9
# D(E_F) (states/eV/f.u.): 4.995
# Formation energy from the elements (kJ per mole of atoms): -20.4

# 5
# PBE-GGA La4DyY7, relaxed
data_La4DyY7
_chemical_formula_sum 'La8 Dy2 Y14'
_cell_length_a 12.1273
_cell_length_b 5.9585
_cell_length_c 13.0076
_cell_angle_alpha 90.00
_cell_angle_beta 116.13
_cell_angle_gamma 90.00
_space_group_name_H-M_alt 'C 1 2/m 1'
_space_group_IT_number 12
_space_group_name_Hall '-C 2y'
loop_
_atom_site_label
_atom_site_type_symbol
_atom_site_fract_x
_atom_site_fract_y
_atom_site_fract_z
La1 La 0.0932 0.0000 0.2870
La2 La 0.1338 0.5000 0.7758
Dy1 Dy 0.0000 0.5000 0.0000
Y1 Y 0.0000 0.0000 0.0000
Y2 Y 0.1333 0.5000 0.4853
Y3 Y 0.1598 0.0000 0.6288
Y4 Y 0.2111 0.0000 0.9160
# Energy above the lowest structure with this stoichiometry (kJ/mol of formula units): 295
# Density (g/cm³): 5.3
# D(E_F) (states/eV/f.u.): 21.264
# Formation energy from the elements (kJ per mole of atoms): 26.1

# 6
# PBE-GGA Sr2TaO, relaxed
data_Sr2TaO
_chemical_formula_sum 'Sr8 Ta4 O4'
_cell_length_a 7.4054
_cell_length_b 7.4054
_cell_length_c 9.1369
_cell_angle_alpha 90.00
_cell_angle_beta 90.00
_cell_angle_gamma 90.00
_space_group_name_H-M_alt 'I -4 2 d'
_space_group_IT_number 122
_space_group_name_Hall 'I -4 2bw'
loop_
_atom_site_label
_atom_site_type_symbol
_atom_site_fract_x
_atom_site_fract_y
_atom_site_fract_z
Sr1 Sr 0.1280 0.2500 0.1250
Ta1 Ta 0.0000 0.0000 0.5000
O1 O 0.0000 0.0000 0.0000
# Density (g/cm³): 4.9
# D(E_F) (states/eV/f.u.): 2.547
# Formation energy from raw total energies (kJ per mole of atoms): -6.99

# 7
# PBE-GGA LiThAg, relaxed
data_LiThAg
_chemical_formula_sum 'Li4 Th4 Ag4'
_cell_length_a 5.6006
_cell_length_b 5.6001
_cell_length_c 9.3917
_cell_angle_alpha 90.00
_cell_angle_beta 107.18
_cell_angle_gamma 90.00
_space_group_name_H-M_alt 'C 1 2/m 1'
_space_group_IT_number 12
_space_group_name_Hall '-C 2y'
loop_
_atom_site_label
_atom_site_type_symbol
_atom_site_fract_x
_atom_site_fract_y
_atom_site_fract_z
Li1 Li 0.2500 0.2500 0.0000
Th1 Th 0.1874 0.0000 0.3736
Ag1 Ag 0.1085 0.5000 0.2150
# Energy above the lowest structure with this stoichiometry (kJ/mol of formula units): 0
# Density (g/cm³): 8.2
# D(E_F) (states/eV/f.u.): 2.072
# Formation energy from the elements (kJ per mole of atoms): -5.8

# 8
# PBE-GGA Ag2TeP, relaxed
data_Ag2TeP
_chemical_formula_sum 'Ag8 Te4 P4'
_cell_length_a 6.9119
_cell_length_b 6.9119
_cell_length_c 6.9119
_cell_angle_alpha 90.00
_cell_angle_beta 90.00
_cell_angle_gamma 90.00
_space_group_name_H-M_alt 'F m -3 m'
_space_group_IT_number 225
_space_group_name_Hall '-F 4 2 3'
loop_
_atom_site_label
_atom_site_type_symbol
_atom_site_fract_x
_atom_site_fract_y
_atom_site_fract_z
Ag1 Ag 0.2500 0.2500 0.2500
Te1 Te 0.0000 0.0000 0.0000
P1 P 0.0000 0.0000 0.5000
# Energy above the lowest structure with this stoichiometry (kJ/mol of formula units): 100
# Density (g/cm³): 7.5
# D(E_F) (states/eV/f.u.): 2.524
# Formation energy from raw total energies (kJ per mole of atoms): 44.56

# 9
# PBE-GGA Fe2HgRu, relaxed
data_Fe2HgRu
_chemical_formula_sum 'Fe2 Hg1 Ru1'
_cell_length_a 2.7604
_cell_length_b 2.7604
_cell_length_c 7.6600
_cell_angle_alpha 90.00
_cell_angle_beta 90.00
_cell_angle_gamma 90.00
_space_group_name_H-M_alt 'P 4/m m m'
_space_group_IT_number 123
_space_group_name_Hall '-P 4 2'
loop_
_atom_site_label
_atom_site_type_symbol
_atom_site_fract_x
_atom_site_fract_y
_atom_site_fract_z
Fe1 Fe 0.0000 0.0000 0.2229
Hg1 Hg 0.5000 0.5000 0.5000
Ru1 Ru 0.5000 0.5000 0.0000
# Density (g/cm³): 11.8
# D(E_F) (states/eV/f.u.): 4.499
# Formation energy from the elements (kJ per mole of atoms): 34.8

# 10
# PBE-GGA LiPa6Se8, relaxed
data_LiPa6Se8
_chemical_formula_sum 'Li4 Pa24 Se32'
_cell_length_a 11.4388
_cell_length_b 11.4388
_cell_length_c 11.4388
_cell_angle_alpha 90.00
_cell_angle_beta 90.00
_cell_angle_gamma 90.00
_space_group_name_H-M_alt 'F m -3 m'
_space_group_IT_number 225
_space_group_name_Hall '-F 4 2 3'
loop_
_atom_site_label
_atom_site_type_symbol
_atom_site_fract_x
_atom_site_fract_y
_atom_site_fract_z
Li1 Li 0.0000 0.0000 0.0000
Pa1 Pa 0.0000 0.2500 0.2500
Se1 Se 0.0000 0.0000 0.2488
Se2 Se 0.2500 0.2500 0.2500
# Density (g/cm³): 9.0
# D(E_F) (states/eV/f.u.): 26.673
# Formation energy from raw total energies (kJ per mole of atoms): -122.17

# 11
# PBE-GGA Re3C, relaxed
data_Re3C
_chemical_formula_sum 'Re3 C1'
_cell_length_a 2.7433
_cell_length_b 2.7433
_cell_length_c 6.6252
_cell_angle_alpha 90.00
_cell_angle_beta 90.00
_cell_angle_gamma 90.00
_space_group_name_H-M_alt 'P 4/m m m'
_space_group_IT_number 123
_space_group_name_Hall '-P 4 2'
loop_
_atom_site_label
_atom_site_type_symbol
_atom_site_fract_x
_atom_site_fract_y
_atom_site_fract_z
Re1 Re 0.0000 0.0000 0.0000
Re2 Re 0.5000 0.5000 0.3006
C1 C 0.0000 0.0000 0.5000
# Energy above the lowest structure with this stoichiometry (kJ/mol of formula units): 187
# Density (g/cm³): 19.0
# D(E_F) (states/eV/f.u.): 1.513
# Formation energy from the elements (kJ per mole of atoms): 45.1

# 12
# PBE-GGA Mg2ZnAgH, relaxed
data_Mg2ZnAgH
_chemical_formula_sum 'Mg2 Zn1 Ag1 H1'
_cell_length_a 4.4027
_cell_length_b 4.4027
_cell_length_c 3.9455
_cell_angle_alpha 90.00
_cell_angle_beta 90.00
_cell_angle_gamma 90.00
_space_group_name_H-M_alt 'P 4/m m m'
_space_group_IT_number 123
_space_group_name_Hall '-P 4 2'
loop_
_atom_site_label
_atom_site_type_symbol
_atom_site_fract_x
_atom_site_fract_y
_atom_site_fract_z
Mg1 Mg 0.0000 0.5000 0.0000
Zn1 Zn 0.0000 0.0000 0.5000
Ag1 Ag 0.5000 0.5000 0.5000
H1 H 0.5000 0.5000 0.0000
# Energy above the lowest structure with this stoichiometry (kJ/mol of formula units): 25
# Density (g/cm³): 4.8
# D(E_F) (states/eV/f.u.): 0.813

# 13
# PBE-GGA CrRe2Se, relaxed
data_CrRe2Se
_chemical_formula_sum 'Cr1 Re2 Se1'
_cell_length_a 2.9767
_cell_length_b 4.3873
_cell_length_c 4.4713
_cell_angle_alpha 90.00
_cell_angle_beta 90.00
_cell_angle_gamma 90.00
_space_group_name_H-M_alt 'P m m m'
_space_group_IT_number 47
_space_group_name_Hall '-P 2 2'
loop_
_atom_site_label
_atom_site_type_symbol
_atom_site_fract_x
_atom_site_fract_y
_atom_site_fract_z
Cr1 Cr 0.0000 0.0000 0.0000
Re1 Re 0.0000 0.5000 0.5000
Re2 Re 0.5000 0.5000 0.0000
Se1 Se 0.5000 0.0000 0.5000
# Energy above the lowest structure with this stoichiometry (kJ/mol of formula units): 119
# Density (g/cm³): 14.3
# D(E_F) (states/eV/f.u.): 3.323
# Formation energy from raw total energies (kJ per mole of atoms): 50.02

# 14
# PBE-GGA ThFe2Ge2, relaxed
data_ThFe2Ge2
_chemical_formula_sum 'Th2 Fe4 Ge4'
_cell_length_a 4.1255
_cell_length_b 4.1255
_cell_length_c 9.8568
_cell_angle_alpha 90.00
_cell_angle_beta 90.00
_cell_angle_gamma 90.00
_space_group_name_H-M_alt 'I 4/m m m'
_space_group_IT_number 139
_space_group_name_Hall '-I 4 2'
loop_
_atom_site_label
_atom_site_type_symbol
_atom_site_fract_x
_atom_site_fract_y
_atom_site_fract_z
Th1 Th 0.0000 0.0000 0.0000
Fe1 Fe 0.0000 0.5000 0.2500
Ge1 Ge 0.0000 0.0000 0.3640
# Energy above the lowest structure with this stoichiometry (kJ/mol of formula units): 0
# Density (g/cm³): 9.7
# D(E_F) (states/eV/f.u.): 4.054
# Formation energy from the elements (kJ per mole of atoms): -46.9

# 15
# PBE-GGA Dy2Er2Tm, relaxed
data_Dy2Er2Tm
_chemical_formula_sum 'Dy4 Er4 Tm2'
_cell_length_a 3.4761
_cell_length_b 5.6381
_cell_length_c 16.0757
_cell_angle_alpha 90.00
_cell_angle_beta 90.00
_cell_angle_gamma 90.00
_space_group_name_H-M_alt 'A m m 2'
_space_group_IT_number 38
_space_group_name_Hall 'A 2 -2'
loop_
_atom_site_label
_atom_site_type_symbol
_atom_site_fract_x
_atom_site_fract_y
_atom_site_fract_z
Dy1 Dy 0.0000 0.0000 0.0000
Dy2 Dy 0.5000 0.0000 0.1907
Er1 Er 0.0000 0.0000 0.3814
Er2 Er 0.5000 0.0000 0.8096
Tm1 Tm 0.0000 0.0000 0.6193
# Energy above the lowest structure with this stoichiometry (kJ/mol of formula units): 13
# Density (g/cm³): 8.7
# D(E_F) (states/eV/f.u.): 8.875
# Formation energy from the elements (kJ per mole of atoms): 12.2

# 16
# PBE-GGA AcThAlCd, relaxed
data_AcThAlCd
_chemical_formula_sum 'Ac4 Th4 Al4 Cd4'
_cell_length_a 7.7931
_cell_length_b 7.7931
_cell_length_c 7.7931
_cell_angle_alpha 90.00
_cell_angle_beta 90.00
_cell_angle_gamma 90.00
_space_group_name_H-M_alt 'F -4 3 m'
_space_group_IT_number 216
_space_group_name_Hall 'F -4 2 3'
loop_
_atom_site_label
_atom_site_type_symbol
_atom_site_fract_x
_atom_site_fract_y
_atom_site_fract_z
Ac1 Ac 0.0000 0.0000 0.0000
Th1 Th 0.0000 0.0000 0.5000
Al1 Al 0.2500 0.2500 0.7500
Cd1 Cd 0.2500 0.2500 0.2500
# Density (g/cm³): 8.4
# D(E_F) (states/eV/f.u.): 3.552
# Formation energy from the elements (kJ per mole of atoms): -13.1

# 17
# PBE-GGA Tb2YSn9, relaxed
data_Tb2YSn9
_chemical_formula_sum 'Tb2 Y1 Sn9'
_cell_length_a 4.7989
_cell_length_b 4.7989
_cell_length_c 13.7055
_cell_angle_alpha 90.00
_cell_angle_beta 90.00
_cell_angle_gamma 90.00
_space_group_name_H-M_alt 'P 4/m m m'
_space_group_IT_number 123
_space_group_name_Hall '-P 4 2'
loop_
_atom_site_label
_atom_site_type_symbol
_atom_site_fract_x
_atom_site_fract_y
_atom_site_fract_z
Tb1 Tb 0.0000 0.0000 0.1663
Y1 Y 0.0000 0.0000 0.5000
Sn1 Sn 0.0000 0.5000 0.0000
Sn2 Sn 0.0000 0.5000 0.3333
Sn3 Sn 0.5000 0.5000 0.1666
Sn4 Sn 0.5000 0.5000 0.5000
# Density (g/cm³): 7.8
# D(E_F) (states/eV/f.u.): 5.258
# Formation energy from the elements (kJ per mole of atoms): -42.0

# 18
# PBE-GGA Sr5Ir2N6, relaxed
data_Sr5Ir2N6
_chemical_formula_sum 'Sr20 Ir8 N24'
_cell_length_a 10.4696
_cell_length_b 7.1858
_cell_length_c 13.0945
_cell_angle_alpha 90.00
_cell_angle_beta 103.48
_cell_angle_gamma 90.00
_space_group_name_H-M_alt 'C 1 2/c 1'
_space_group_IT_number 15
_space_group_name_Hall '-C 2yc'
loop_
_atom_site_label
_atom_site_type_symbol
_atom_site_fract_x
_atom_site_fract_y
_atom_site_fract_z
Sr1 Sr 0.0000 0.1216 0.2500
Sr2 Sr 0.0595 0.2415 0.9999
Sr3 Sr 0.1611 0.3859 0.7205
Ir1 Ir 0.2327 0.4321 0.4460
N1 N 0.0526 0.4547 0.3745
N2 N 0.1411 0.0422 0.6400
N3 N 0.2094 0.0128 0.4135
# Density (g/cm³): 6.3
# D(E_F) (states/eV/f.u.): 5.364
# Formation energy from raw total energies (kJ per mole of atoms): -36.82

# 19
# PBE-GGA RbNa2ZrIr, relaxed
data_RbNa2ZrIr
_chemical_formula_sum 'Rb1 Na2 Zr1 Ir1'
_cell_length_a 6.3276
_cell_length_b 6.3276
_cell_length_c 4.8195
_cell_angle_alpha 90.00
_cell_angle_beta 90.00
_cell_angle_gamma 90.00
_space_group_name_H-M_alt 'P 4/m m m'
_space_group_IT_number 123
_space_group_name_Hall '-P 4 2'
loop_
_atom_site_label
_atom_site_type_symbol
_atom_site_fract_x
_atom_site_fract_y
_atom_site_fract_z
Rb1 Rb 0.0000 0.0000 0.0000
Na1 Na 0.0000 0.5000 0.5000
Zr1 Zr 0.5000 0.5000 0.5000
Ir1 Ir 0.5000 0.5000 0.0000
# Density (g/cm³): 3.6
# D(E_F) (states/eV/f.u.): 4.006
# Formation energy from the elements (kJ per mole of atoms): 66.3

# 20
# PBE-GGA UPa2Ge2, relaxed
data_UPa2Ge2
_chemical_formula_sum 'U2 Pa4 Ge4'
_cell_length_a 7.5770
_cell_length_b 7.5770
_cell_length_c 3.9637
_cell_angle_alpha 90.00
_cell_angle_beta 90.00
_cell_angle_gamma 90.00
_space_group_name_H-M_alt 'P 4/m b m'
_space_group_IT_number 127
_space_group_name_Hall '-P 4 2ab'
loop_
_atom_site_label
_atom_site_type_symbol
_atom_site_fract_x
_atom_site_fract_y
_atom_site_fract_z
U1 U 0.0000 0.0000 0.0000
Pa1 Pa 0.1827 0.3173 0.5000
Ge1 Ge 0.1197 0.6197 0.0000
# Density (g/cm³): 12.3
# D(E_F) (states/eV/f.u.): 11.863
# Formation energy from the elements (kJ per mole of atoms): -28.7